# Pa2Co4Ge3Ir | the Alexandria database | PBE | optimized geometry
# Crystal system: tetragonal
# Electronic total energy in Ry per atom: -0.5515
# DOS at the Fermi energy in states/eV/cell: 9.58
data_Pa2Co4Ge3Ir
_cell_length_a 3.789
_cell_length_b 3.789
_cell_length_c 10.939
_cell_angle_alpha 90.00
_cell_angle_beta 90.00
_cell_angle_gamma 90.00
_space_group_name_H-M_alt 'P 1'
_space_group_IT_number 1
_space_group_name_Hall 'P 1'
loop_
_atom_site_label
_atom_site_fract_x
_atom_site_fract_y
_atom_site_fract_z
Co1 0.000 0.000 0.000
Co2 0.500 0.000 0.666
Co3 0.000 0.500 0.334
Co4 0.500 0.500 0.000
Ge1 0.000 0.500 0.121
Ge2 0.500 0.000 0.879
Ge3 0.000 0.000 0.500
Pa1 0.000 0.500 0.735
Pa2 0.500 0.000 0.265
Ir1 0.500 0.500 0.500